Density functional theory data (GGA-PBE) for an optimized crystal structure of La5Pr4Y2.

Crystal system: monoclinic
Total moment in μB per cell: 0.00
Uncorrected energy in eV/atom: -5.0685

a = 3.6259 Å, b = 8.9471 Å, c = 12.5224 Å
α = 94.42°, β = 98.32°, γ = 90.00°
Last column: nearest neighbours and their distance in Å.
Fractional coordinates of all 11 atoms:
La: 0.1313 0.0495 0.2626  4 Pr 3.61-3.69, 5 La 3.63-3.92, 2 Y 3.73
La: 0.1831 0.4748 0.3661  5 La 3.63-3.92, 4 Pr 3.63-3.71, 2 Y 3.70
La: 0.8687 0.9505 0.7374  4 Pr 3.61-3.69, 5 La 3.63-3.92, 2 Y 3.73
Pr: 0.7266 0.8255 0.4531  1 Y 3.57, 6 La 3.61-3.71, 4 Pr 3.63-3.72
Y: 0.5866 0.6973 0.1731  5 Pr 3.57-3.72, 5 La 3.58-3.73, 2 Y 3.63
La: 0.8169 0.5252 0.6339  5 La 3.63-3.92, 4 Pr 3.63-3.71, 2 Y 3.70
Pr: 0.0403 0.3471 0.0807  3 Pr 3.51-3.63, 4 La 3.62-3.67, 4 Y 3.63-3.72
La: 0.5000 0.0000 0.0000  2 Y 3.58, 6 La 3.63-3.72, 4 Pr 3.67
Y: 0.4134 0.3027 0.8269  5 Pr 3.57-3.72, 5 La 3.58-3.73, 2 Y 3.63
Pr: 0.9597 0.6529 0.9193  3 Pr 3.51-3.63, 4 La 3.62-3.67, 4 Y 3.63-3.72
Pr: 0.2734 0.1745 0.5469  1 Y 3.57, 6 La 3.61-3.71, 4 Pr 3.63-3.72

Density functional theory data (GGA-PBE) for an optimized crystal structure of LaPrY6.

Crystal system: monoclinic
Total moment in μB per cell: 0.00
ΔE to the lowest computed polymorph in meV/atom: 233.8
Uncorrected energy in eV/atom: -5.6885

a = 6.1852 Å, b = 6.1852 Å, c = 9.4972 Å
α = 86.66°, β = 116.87°, γ = 113.31°
Last column: nearest neighbours and their distance in Å.
Fractional coordinates of all 8 atoms:
Y: 0.2991 0.6263 0.9254  5 Y 3.20-3.54
Y: 0.8413 0.9399 0.2992  5 Y 3.28-3.54, 1 Pr 3.36, 2 La 3.50-3.55
Pr: 0.0000 0.0000 0.0000  10 Y 3.36-3.76
La: 0.5000 0.0000 0.5000  8 Y 3.50-3.55
Y: 0.1587 0.0601 0.7008  5 Y 3.28-3.54, 1 Pr 3.36, 2 La 3.50-3.55
Y: 0.3593 0.4579 0.2992  5 Y 3.28-3.54, 1 Pr 3.36, 2 La 3.50-3.55
Y: 0.6407 0.5421 0.7008  5 Y 3.28-3.54, 1 Pr 3.36, 2 La 3.50-3.55
Y: 0.7009 0.3737 0.0746  5 Y 3.20-3.54

Density functional theory data (GGA-PBE) for an optimized crystal structure of LaPr4Y6.

Crystal system: hexagonal
Total moment in μB per cell: 0.00
ΔE to the lowest computed polymorph in meV/atom: 44.0
Uncorrected energy in eV/atom: -5.5652

a = 3.5943 Å, b = 11.1614 Å, c = 11.1614 Å
α = 120.00°, β = 90.00°, γ = 90.00°
Last column: nearest neighbours and their distance in Å.
Fractional coordinates of all 11 atoms:
Pr: 0.0000 0.3333 0.6667  3 Y 3.15
Pr: 0.5000 0.8016 0.6033  6 Y 3.51-3.59, 2 Pr 3.59
La: 0.0000 0.0000 0.0000  2 La 3.59, 6 Y 3.75
Pr: 0.5000 0.3967 0.1984  6 Y 3.51-3.59, 2 Pr 3.59
Y: 0.5000 0.1704 0.3408  6 Y 3.59-3.63, 4 Pr 3.59-3.63, 2 La 3.75
Y: 0.5000 0.1704 0.8296  6 Y 3.59-3.63, 4 Pr 3.59-3.63, 2 La 3.75
Y: 0.0000 0.4964 0.5036  5 Pr 3.15-3.51
Y: 0.5000 0.6592 0.8296  6 Y 3.59-3.63, 4 Pr 3.59-3.63, 2 La 3.75
Pr: 0.5000 0.8016 0.1984  6 Y 3.51-3.59, 2 Pr 3.59
Y: 0.0000 0.0073 0.5036  5 Pr 3.15-3.51
Y: 0.0000 0.4964 0.9927  5 Pr 3.15-3.51

Density functional theory data (GGA-PBE) for an optimized crystal structure of LaPr5Y5.

Crystal system: hexagonal
Total moment in μB per cell: 0.00
ΔE to the lowest computed polymorph in meV/atom: 13.7
Uncorrected energy in eV/atom: -5.2563

a = 6.2801 Å, b = 6.2801 Å, c = 11.5472 Å
α = 90.00°, β = 90.00°, γ = 120.00°
Last column: nearest neighbours and their distance in Å.
Fractional coordinates of all 11 atoms:
Y: 0.6667 0.3333 0.1631  7 Y 3.77-4.11, 3 Pr 3.81, 3 La 4.09
Pr: 0.8290 0.1710 0.5000  6 Pr 3.06-3.30
Y: 0.3333 0.6667 0.6693  9 Pr 3.70-3.71, 1 La 3.82, 4 Y 3.91-4.11
Pr: 0.8290 0.6580 0.5000  6 Pr 3.06-3.30
La: 0.3333 0.6667 0.0000  5 Y 3.63-3.82
Pr: 0.0000 0.0000 0.2635  1 Y 3.04, 3 Pr 3.30
Pr: 0.0000 0.0000 0.7365  1 Y 3.04, 3 Pr 3.30
Y: 0.0000 0.0000 0.0000  2 Pr 3.04
Y: 0.6667 0.3333 0.8369  7 Y 3.77-4.11, 3 Pr 3.81, 3 La 4.09
Y: 0.3333 0.6667 0.3307  9 Pr 3.70-3.71, 1 La 3.82, 4 Y 3.91-4.11
Pr: 0.3420 0.1710 0.5000  6 Pr 3.06-3.30

Density functional theory data (GGA-PBE) for an optimized crystal structure of La5Pr2Y2.

Crystal system: triclinic
Total moment in μB per cell: 0.00
ΔE to the lowest computed polymorph in meV/atom: 0.0
Uncorrected energy in eV/atom: -5.2197

a = 6.4284 Å, b = 3.7050 Å, c = 16.8652 Å
α = 96.39°, β = 93.58°, γ = 125.25°
Last column: nearest neighbours and their distance in Å.
Fractional coordinates of all 9 atoms:
Pr: 0.3342 0.6694 0.6688  6 La 3.65-3.73, 4 Y 3.68, 2 Pr 3.70
La: 0.2215 0.4431 0.4434  1 Y 3.65, 6 La 3.70-3.72, 5 Pr 3.71-3.73
La: 0.4446 0.8900 0.8894  1 Pr 3.65, 7 La 3.66-3.70, 4 Y 3.71-3.72
Y: 0.8882 0.7775 0.7771  6 La 3.65-3.72, 4 Pr 3.68, 2 Y 3.70
La: 0.5554 0.1100 0.1106  1 Pr 3.65, 7 La 3.66-3.70, 4 Y 3.71-3.72
La: 0.0000 0.0000 0.0000  2 Y 3.69, 10 La 3.69-3.70
La: 0.7785 0.5569 0.5566  1 Y 3.65, 6 La 3.70-3.72, 5 Pr 3.71-3.73
Y: 0.1118 0.2225 0.2229  6 La 3.65-3.72, 4 Pr 3.68, 2 Y 3.70
Pr: 0.6658 0.3306 0.3312  6 La 3.65-3.73, 4 Y 3.68, 2 Pr 3.70

Density functional theory data (GGA-PBE) for an optimized crystal structure of La8Pr3Y2.

Crystal system: monoclinic
Total moment in μB per cell: 0.00
ΔE to the lowest computed polymorph in meV/atom: 40.7
Uncorrected energy in eV/atom: -4.9487

a = 5.9602 Å, b = 7.7574 Å, c = 11.1070 Å
α = 110.44°, β = 90.05°, γ = 90.00°
Last column: nearest neighbours and their distance in Å.
Fractional coordinates of all 13 atoms:
La: 0.5004 0.4017 0.2123  1 La 3.17, 1 Pr 3.18, 1 Y 3.54
La: 0.0013 0.8639 0.7279  2 Pr 3.58, 2 Y 3.70-3.71, 7 La 3.80-3.96
La: 0.4996 0.1894 0.7877  1 La 3.17, 1 Pr 3.18, 1 Y 3.54
Y: 0.5025 0.7580 0.5161  8 La 3.45-3.71
La: 0.5004 0.8106 0.2123  1 La 3.17, 1 Pr 3.18, 1 Y 3.54
Pr: 0.0000 0.7176 0.0000  3 Pr 3.38-3.70, 6 La 3.58-3.71
La: 0.9980 0.3253 0.6507  2 Y 3.45, 4 La 3.66-3.67
Pr: 0.5000 0.0000 0.0000  4 La 3.18
La: 0.0020 0.6747 0.3493  2 Y 3.45, 4 La 3.66-3.67
Y: 0.4975 0.2420 0.4839  8 La 3.45-3.71
La: 0.9987 0.1361 0.2721  2 Pr 3.58, 2 Y 3.70-3.71, 7 La 3.80-3.96
Pr: 0.0000 0.2824 0.0000  3 Pr 3.38-3.70, 6 La 3.58-3.71
La: 0.4996 0.5983 0.7877  1 La 3.17, 1 Pr 3.18, 1 Y 3.54

no.,formation energy (eV per atom)
1,0.08
2,0.37
3,0.15
4,0.30
5,0.02
6,0.18